1.
# LaDyCuAg, relaxed, DFT GGA-PBE
data_LaDyCuAg
_chemical_formula_sum 'La1 Dy1 Cu1 Ag1'
_symmetry_space_group_name_H-M 'P 1'
_symmetry_Int_Tables_number 1
_cell_length_a 3.607
_cell_length_b 3.607
_cell_length_c 7.441
_cell_angle_alpha 90.00
_cell_angle_beta 90.00
_cell_angle_gamma 90.00
loop_
_symmetry_equiv_pos_as_xyz
'x,y,z'
loop_
_atom_site_label
_atom_site_type_symbol
_atom_site_fract_x
_atom_site_fract_y
_atom_site_fract_z
Dy1 Dy 0.000 0.000 0.371
Cu1 Cu 0.500 0.500 0.580
Ag1 Ag 0.500 0.500 0.134
La1 La 0.000 0.000 0.843
# Formation energy in eV/atom: -0.242
# Energy in eV for the cell shown: -17.45
# Relative energy among the computed polymorphs in eV per atom: 0.000
# Density of states at the Fermi level in states/eV/cell: 2.6

2.
# LiDyCuAg, relaxed, DFT GGA-PBE
data_LiDyCuAg
_chemical_formula_sum 'Li1 Dy1 Cu1 Ag1'
_symmetry_space_group_name_H-M 'P 1'
_symmetry_Int_Tables_number 1
_cell_length_a 4.795
_cell_length_b 4.795
_cell_length_c 4.795
_cell_angle_alpha 60.00
_cell_angle_beta 60.00
_cell_angle_gamma 60.00
loop_
_symmetry_equiv_pos_as_xyz
'x,y,z'
loop_
_atom_site_label
_atom_site_type_symbol
_atom_site_fract_x
_atom_site_fract_y
_atom_site_fract_z
Li1 Li 0.000 0.000 0.000
Cu1 Cu 0.250 0.250 0.250
Dy1 Dy 0.500 0.500 0.500
Ag1 Ag 0.750 0.750 0.750
# Formation energy in eV/atom: -0.133
# Energy in eV for the cell shown: -14.00
# Density of states at the Fermi level in states/eV/cell: 2.2